Computed, not measured: a PBEsol-optimized structure of TcPbSN2 at the meta-GGA SCAN level of DFT.

Calculated values
Calculated total energy ... -137.555 eV for the cell shown
Size of the total moment ... 0.00 μB/atom

Geometry as POSCAR:
```
TcPbSN2
1.0
-0.342 2.477 2.985
2.796 -1.920 1.914
3.411 2.932 -2.042
Tc Pb N S
1 1 2 1
Cartesian
0.000 0.000 0.000
2.932 1.745 1.429
1.398 -0.960 0.957
-0.171 1.238 1.493
1.706 1.466 -1.021
```